CsMo2P2O11, relaxed, DFT PBE+U; spin magnetization = 1.00 μB/f.u.; electronic total energy = -7.006 eV per atom
1.0
8.937 0.000 0.000
0.000 10.467 0.008
0.000 -2.819 11.384
Cs Mo P O
4 8 8 44
direct
0.771 0.098 0.076
0.271 0.902 0.424
0.229 0.902 0.924
0.729 0.098 0.576
0.745 0.388 0.390
0.245 0.612 0.110
0.255 0.612 0.610
0.755 0.388 0.890
0.772 0.800 0.276
0.272 0.200 0.224
0.228 0.200 0.724
0.728 0.800 0.776
0.921 0.481 0.167
0.421 0.519 0.333
0.079 0.519 0.833
0.579 0.481 0.667
0.915 0.703 0.512
0.415 0.297 0.988
0.085 0.297 0.488
0.585 0.703 0.012
0.664 0.239 0.323
0.164 0.761 0.177
0.336 0.761 0.677
0.836 0.239 0.823
0.883 0.396 0.254
0.383 0.604 0.246
0.117 0.604 0.746
0.617 0.396 0.754
0.592 0.500 0.329
0.092 0.500 0.171
0.408 0.500 0.671
0.908 0.500 0.829
0.917 0.299 0.463
0.417 0.701 0.037
0.083 0.701 0.537
0.583 0.299 0.963
0.629 0.405 0.544
0.129 0.595 0.956
0.371 0.595 0.456
0.871 0.405 0.044
0.845 0.568 0.476
0.345 0.432 0.024
0.155 0.432 0.524
0.655 0.568 0.976
0.864 0.943 0.270
0.364 0.057 0.230
0.136 0.057 0.730
0.636 0.943 0.770
0.615 0.844 0.363
0.115 0.156 0.137
0.385 0.156 0.637
0.885 0.844 0.863
0.841 0.617 0.201
0.341 0.383 0.299
0.159 0.383 0.799
0.659 0.617 0.701
0.668 0.789 0.122
0.168 0.211 0.378
0.332 0.211 0.878
0.832 0.789 0.622
0.900 0.781 0.414
0.400 0.219 0.086
0.100 0.219 0.586
0.600 0.781 0.914